#A
## ZnCr2Br (PBE)

Data for ZnCr2Br after structural relaxation.

Values from the calculation:
- Symmetry: Cmmm, No. 65
- Total magnetization: 8.2 Bohr magnetons per cell
- DOS at the Fermi energy: 0.836 states/eV/atom

Unit cell a=4.809 b=4.809 c=3.158 alpha=90.00 beta=90.00 gamma=99.08
Each line ends with the local moment (μB).
Fractional coordinates of all 4 atoms:
Br1 0.000 0.500 0.500  0.00
Cr1 0.000 0.000 0.000  3.72
Cr2 0.500 0.500 0.000  3.72
Zn1 0.500 0.000 0.500  -0.05

#B
## ZnCr2Br (PBE)

Data for ZnCr2Br after structural relaxation.

Values from the calculation:
- Symmetry: R-3m, No. 166
- Total magnetization: 8.0 Bohr magnetons per cell
- DOS at the Fermi energy: 1.066 states/eV/atom

Unit cell a=8.025 b=8.025 c=8.025 alpha=24.02 beta=24.02 gamma=24.02
Each line ends with the local moment (μB).
Fractional coordinates of all 4 atoms:
Br1 0.750 0.750 0.750  0.02
Cr1 0.997 0.997 0.997  3.66
Cr2 0.503 0.503 0.503  3.66
Zn1 0.250 0.250 0.250  -0.03

#C
## ZnCr2Br (PBE)

Data for ZnCr2Br after structural relaxation.

Values from the calculation:
- Symmetry: F-43m, No. 216
- Total magnetization: 0.5 Bohr magnetons per cell
- DOS at the Fermi energy: 0.561 states/eV/atom

Unit cell a=4.674 b=4.674 c=4.674 alpha=60.00 beta=60.00 gamma=60.00
Each line ends with the local moment (μB).
Fractional coordinates of all 4 atoms:
Br1 0.500 0.500 0.500  0.12
Cr1 0.000 0.000 0.000  3.69
Cr2 0.250 0.250 0.250  -3.46
Zn1 0.750 0.750 0.750  0.02

Name the least stable of them. #C.